[1]
The following is a PBE calculation of a geometry-optimized TiCuGeRu structure, from Alexandria via LeMat-Bulk.

Unit cell a=4.3049 b=4.3049 c=4.3049 alpha=60.00 beta=60.00 gamma=60.00
Positions (direct):
Ge (0.2500, 0.2500, 0.2500)
Ru (0.5000, 0.5000, 0.5000)
Cu (0.0000, 0.0000, 0.0000)
Ti (0.7500, 0.7500, 0.7500)

***

[2]
The following is a PBE calculation of a geometry-optimized Nd2Dy2Y6Tm structure, from Alexandria via LeMat-Bulk.

Unit cell a=6.6646 b=6.6646 c=12.0560 alpha=101.52 beta=101.52 gamma=129.68
Positions (direct):
Dy (0.7061, 0.2939, 0.5000)
Dy (0.2939, 0.7061, 0.5000)
Nd (0.8658, 0.1342, 0.0000)
Nd (0.1342, 0.8658, 0.0000)
Y (0.5575, 0.8634, 0.2109)
Tm (0.0000, 0.0000, 0.5000)
Y (0.1366, 0.4425, 0.7891)
Y (0.2974, 0.2974, 0.2979)
Y (0.7026, 0.7026, 0.7021)
Y (0.4425, 0.1366, 0.7891)
Y (0.8634, 0.5575, 0.2109)

***

Number 1: E_form -0.3002 eV/atom, total moment 0.0 μB/f.u.. Number 2: E_form 0.1426 eV/atom, total moment 0.0 μB/f.u..